1.
Density functional theory data (PBE) for an optimized crystal structure of Na2Sr8Cu.

It has space group C2/m (No. 12), with a = 27.875 Å, b = 4.387 Å, c = 8.778 Å, α = 90.00°, β = 98.64° and γ = 90.00°. The asymmetric unit holds Na at (0.204, 0.000, 0.369), Sr at (0.001, 0.000, 0.749), Sr at (0.109, 0.500, 0.549), Sr at (0.115, 0.500, 0.059), Sr at (0.212, 0.000, 0.833) and Cu at (0.000, 0.500, 0.500).

The calculation puts the total magnetization at 0.0 μB per cell. The formation energy is 0.02 eV per atom.


2.
Density functional theory data (PBE) for an optimized crystal structure of NaSr2Cu.

It has space group R-3m (No. 166, hexagonal axes), with a = 4.2915 Å, b = 4.2915 Å, c = 33.8046 Å, α = 90.00°, β = 90.00° and γ = 120.00°. The asymmetric unit holds Na at (0.0000, 0.0000, 0.0000), Sr at (0.0000, 0.0000, 0.1142) and Cu at (0.0000, 0.0000, 0.5000).

The calculation puts the total magnetization at 0.0 μB per cell. The formation energy is 0.11 eV per atom. As for the relative energy among the computed polymorphs: 0.133 eV per atom.


3.
Density functional theory data (PBE) for an optimized crystal structure of NaSr8Cu2.

It has space group C2/m (No. 12), with a = 17.642 Å, b = 7.959 Å, c = 7.153 Å, α = 90.00°, β = 98.12° and γ = 90.00°. The asymmetric unit holds Na at (0.000, 0.000, 0.000), Sr at (0.079, 0.500, 0.834), Sr at (0.135, 0.250, 0.379), Sr at (0.204, 0.000, 0.896) and Cu at (0.231, 0.500, 0.662).

The calculation puts the total magnetization at 0.0 μB per cell. The formation energy is 0.03 eV per atom.


4.
Density functional theory data (PBE) for an optimized crystal structure of NaSr2Cu.

It has space group P4/mmm (No. 123), with a = 3.893 Å, b = 3.893 Å, c = 9.370 Å, α = 90.00°, β = 90.00° and γ = 90.00°. The asymmetric unit holds Na at (0.000, 0.000, 0.000), Sr at (0.500, 0.500, 0.307) and Cu at (0.000, 0.000, 0.500).

The calculation puts the total magnetization at 0.0 μB per cell. The formation energy is 0.02 eV per atom. As for the relative energy among the computed polymorphs: 0.040 eV per atom.


5.
Density functional theory data (PBE) for an optimized crystal structure of NaSr2Cu2.

It has space group P4/mbm (No. 127), with a = 8.258 Å, b = 8.258 Å, c = 4.296 Å, α = 90.00°, β = 90.00° and γ = 90.00°. The asymmetric unit holds Na at (0.000, 0.000, 0.000), Sr at (0.175, 0.325, 0.500) and Cu at (0.107, 0.607, 0.000).

The calculation puts the total magnetization at 0.0 μB per cell. The formation energy is -0.03 eV per atom. As for the relative energy among the computed polymorphs: 0.033 eV per atom.


6.
Density functional theory data (PBE) for an optimized crystal structure of NaSrCu.

It has space group F-43m (No. 216), with a = 7.305 Å, b = 7.305 Å, c = 7.305 Å, α = 90.00°, β = 90.00° and γ = 90.00°. The asymmetric unit holds Na at (0.000, 0.000, 0.000), Sr at (0.000, 0.000, 0.500) and Cu at (0.250, 0.250, 0.750).

The calculation puts the total magnetization at 0.0 μB per cell. The formation energy is 0.13 eV per atom. As for the relative energy among the computed polymorphs: 0.173 eV per atom.


7.
Density functional theory data (PBE) for an optimized crystal structure of Na2SrCu2.

It has space group I4/mmm (No. 139), with a = 4.402 Å, b = 4.402 Å, c = 13.417 Å, α = 90.00°, β = 90.00° and γ = 90.00°. The asymmetric unit holds Na at (0.000, 0.500, 0.250), Sr at (0.000, 0.000, 0.000) and Cu at (0.000, 0.000, 0.411).

The calculation puts the total magnetization at 0.0 μB per cell. The formation energy is 0.10 eV per atom. As for the relative energy among the computed polymorphs: 0.000 eV per atom.


8.
Density functional theory data (PBE) for an optimized crystal structure of NaSr2Cu2.

It has space group Cmmm (No. 65), with a = 4.382 Å, b = 16.270 Å, c = 4.300 Å, α = 90.00°, β = 90.00° and γ = 90.00°. The asymmetric unit holds Na at (0.000, 0.000, 0.000), Sr at (0.000, 0.355, 0.500) and Cu at (0.000, 0.213, 0.000).

The calculation puts the total magnetization at 0.0 μB per cell. The formation energy is -0.06 eV per atom. As for the relative energy among the computed polymorphs: 0.000 eV per atom.


total magnetization of number 3 (NaSr8Cu2)? 0.0 μB per cell